Er4Rh2Pb PBE-GGA optimized geometry; density of states at the Fermi level = 0.472 states/eV per atom; total magnetization = 0.0 Bohr magnetons per cell; symmetry = Cc (9); energy of formation = -0.6506 eV per atom
1.0
4.283 -7.332 0.000
4.283 7.332 0.000
-4.161 0.000 5.469
Er Rh Pb
8 4 2
Cartesian
2.202 7.209 2.735
0.016 4.228 4.405
3.469 1.212 0.705
3.526 3.016 3.778
1.388 -1.212 3.440
2.097 -4.228 1.671
5.607 -3.016 1.043
4.283 -7.209 0.000
4.005 4.802 1.606
1.875 1.029 5.366
3.955 -1.029 2.631
1.924 -4.802 4.341
0.689 1.716 2.748
2.770 -1.716 0.013